Entry 1:
PdBrN2O (PBE, relaxed); raw total energy = -3.5177 eV per atom; SG = P4/mmm, No. 123; formation energy without anion corrections = 2.177 eV per atom; volume = 62.3 Å³/cell; Fermi-level density of states = 0.921 states/eV per atom
1.0
-3.675 -0.584 -1.790
1.689 -2.757 -2.568
-0.737 -2.673 2.385
O Br Pd N
1 1 1 2
direct
0.000 0.000 0.500 O
0.000 0.000 0.000 Br
0.500 0.500 0.500 Pd
0.000 0.500 0.000 N
0.500 0.000 0.000 N

Entry 2:
NdHoSe2O (PBE, relaxed); raw total energy = -6.6348 eV per atom; SG = P4/nmm, No. 129; formation energy without anion corrections = -2.380 eV per atom; volume = 238.2 Å³/cell; Fermi-level density of states = 0.187 states/eV per atom
1.0
-2.347 -0.837 -3.184
1.384 -3.799 -0.022
-10.766 -3.973 8.981
Nd Ho Se O
2 2 4 2
direct
0.500 0.000 0.582 Nd
0.000 0.500 0.418 Nd
0.500 0.000 0.123 Ho
0.000 0.500 0.877 Ho
0.000 0.500 0.697 Se
0.000 0.500 0.089 Se
0.500 0.000 0.911 Se
0.500 0.000 0.303 Se
0.000 0.000 0.500 O
0.500 0.500 0.500 O

Entry 3:
LaPt3Rh (PBE, relaxed); raw total energy = -5.9768 eV per atom; SG = Pm-3m, No. 221; DFT formation energy = 9.99 kJ per mole of atoms; volume = 115.9 Å³/cell; Fermi-level density of states = 1.663 states/eV per atom
1.0
4.876 0.000 0.000
0.000 4.876 0.000
0.000 0.000 4.876
Rh Pt La
1 3 1
direct
0.000 0.000 0.000 Rh
0.000 0.500 0.000 Pt
0.000 0.000 0.500 Pt
0.500 0.000 0.000 Pt
0.500 0.500 0.500 La